A relaxed structure of TbSm8N6. Source: Alexandria, functional GGA-PBE.

Values from the calculation:
**Magnetization**: 0.6 Bohr magnetons per cell
**Volume**: 20.27 A^3/atom
**Uncorrected formation energy**: -1.20 eV per atom

```
data_TbSm8N6
_chemical_formula_sum 'Tb1 Sm8 N6'
_cell_length_a 6.2224
_cell_length_b 6.2224
_cell_length_c 9.7534
_cell_angle_alpha 71.40
_cell_angle_beta 71.40
_cell_angle_gamma 60.00
_symmetry_space_group_name_H-M 'P 1'
_symmetry_Int_Tables_number 1
loop_
_symmetry_equiv_pos_as_xyz
'x,y,z'
loop_
_atom_site_label
_atom_site_type_symbol
_atom_site_fract_x
_atom_site_fract_y
_atom_site_fract_z
N1 N 0.3846 0.7267 0.8331
N2 N 0.6154 0.2733 0.1669
N3 N 0.0556 0.3846 0.8331
N4 N 0.9444 0.6154 0.1669
N5 N 0.7267 0.0556 0.8331
N6 N 0.2733 0.9444 0.1669
Sm1 Sm 0.3333 0.3333 0.0000
Sm2 Sm 0.7688 0.4361 0.6928
Sm3 Sm 0.2312 0.5639 0.3072
Sm4 Sm 0.8976 0.2312 0.3072
Sm5 Sm 0.6667 0.6667 0.0000
Sm6 Sm 0.4361 0.1024 0.6928
Sm7 Sm 0.1024 0.7688 0.6928
Sm8 Sm 0.5639 0.8976 0.3072
Tb1 Tb 0.0000 0.0000 0.0000
```